The following is a DFT calculation (GGA-PBE) of crystalline NdY2Ga2Ni4 at its relaxed geometry.

Unit cell a=9.948 b=4.132 c=8.154 alpha=90.00 beta=98.52 gamma=90.00
Space group C2/m (No. 12)
One atom of each set of equivalent atoms:
Nd 0.000 0.000 0.000 x2
Y 0.125 0.500 0.383 x4
Ga 0.178 0.500 0.779 x4
Ni 0.084 0.000 0.631 x4
Ni 0.235 0.500 0.086 x4

Results
Spin magnetization   0.0 μB/f.u.
Total energy   -101.998 eV per cell

The following is a DFT calculation (GGA-PBE) of crystalline Nd2YGa2Ni4 at its relaxed geometry.

Unit cell a=9.963 b=4.155 c=8.287 alpha=90.00 beta=98.95 gamma=90.00
Space group C2/m (No. 12)
One atom of each set of equivalent atoms:
Nd 0.124 0.000 0.377 x4
Y 0.000 0.500 0.000 x2
Ga 0.178 0.000 0.787 x4
Ni 0.082 0.500 0.639 x4
Ni 0.236 0.000 0.084 x4

Results
Spin magnetization   0.0 μB/f.u.
Total energy   -97.868 eV per cell

The following is a DFT calculation (GGA-PBE) of crystalline NdY2Ga3Ni3 at its relaxed geometry.

Unit cell a=3.797 b=12.258 c=7.131 alpha=90.00 beta=90.00 gamma=90.00
Space group Amm2 (No. 38)
One atom of each set of equivalent atoms:
Nd 0.000 0.000 0.000 x2
Y 0.000 0.206 0.378 x4
Ga 0.500 0.000 0.347 x2
Ga 0.500 0.125 0.702 x4
Ni 0.000 0.000 0.584 x2
Ni 0.500 0.169 0.085 x4

Results
Spin magnetization   0.0 μB/f.u.
Total energy   -97.811 eV per cell

The following is a DFT calculation (GGA-PBE) of crystalline NdGaO3 at its relaxed geometry.

Unit cell a=3.857 b=3.857 c=3.857 alpha=90.00 beta=90.00 gamma=90.00
Space group Pm-3m (No. 221)
One atom of each set of equivalent atoms:
Nd 0.000 0.000 0.000 x1
Ga 0.500 0.500 0.500 x1
O 0.000 0.500 0.500 x3

Results
Spin magnetization   0.0 μB/f.u.
Total energy   -35.241 eV per cell

The following is a DFT calculation (GGA-PBE) of crystalline NdGaO3 at its relaxed geometry.

Unit cell a=5.604 b=8.620 c=5.650 alpha=90.00 beta=90.00 gamma=90.00
Space group Pnma (No. 62)
One atom of each set of equivalent atoms:
Nd 0.000 0.000 0.000 x4
Ga 0.011 0.250 0.471 x4
O 0.138 0.090 0.639 x8
O 0.191 0.250 0.159 x4

Results
Spin magnetization   0.0 μB/f.u.
Total energy   -139.501 eV per cell

The following is a DFT calculation (GGA-PBE) of crystalline NdGaO3 at its relaxed geometry.

Unit cell a=5.556 b=7.738 c=5.426 alpha=90.00 beta=90.00 gamma=90.00
Space group Pnma (No. 62)
One atom of each set of equivalent atoms:
Nd 0.050 0.250 0.012 x4
Ga 0.000 0.000 0.500 x4
O 0.020 0.750 0.416 x4
O 0.208 0.545 0.792 x8

Results
Spin magnetization   0.0 μB/f.u.
Total energy   -143.284 eV per cell

The following is a DFT calculation (GGA-PBE) of crystalline Nd4Ga2O9 at its relaxed geometry.

Unit cell a=7.735 b=10.989 c=11.497 alpha=90.00 beta=108.94 gamma=90.00
Space group P2_1/c (No. 14)
One atom of each set of equivalent atoms:
Nd 0.023 0.106 0.284 x4
Nd 0.165 0.623 0.569 x4
Nd 0.334 0.118 0.909 x4
Nd 0.475 0.590 0.190 x4
Ga 0.157 0.183 0.613 x4
Ga 0.286 0.686 0.874 x4
O 0.066 0.009 0.895 x4
O 0.067 0.749 0.887 x4
O 0.139 0.231 0.459 x4
O 0.202 0.027 0.674 x4
O 0.266 0.728 0.231 x4
O 0.285 0.524 0.841 x4
O 0.287 0.226 0.249 x4
O 0.422 0.007 0.106 x4
O 0.428 0.737 0.025 x4

Results
Spin magnetization   0.0 μB/f.u.
Total energy   -453.146 eV per cell

The following is a DFT calculation (GGA-PBE) of crystalline Nd2Ga2O5 at its relaxed geometry.

Unit cell a=3.942 b=3.942 c=9.255 alpha=90.00 beta=90.00 gamma=90.00
Space group P4/mmm (No. 123)
One atom of each set of equivalent atoms:
Nd 0.000 0.000 0.246 x2
Ga 0.500 0.500 0.000 x1
Ga 0.500 0.500 0.500 x1
O 0.000 0.000 0.500 x1
O 0.000 0.500 0.133 x4

Results
Spin magnetization   0.0 μB/f.u.
Total energy   -57.209 eV per cell

The following is a DFT calculation (GGA-PBE) of crystalline NdGaO3 at its relaxed geometry.

Unit cell a=5.4614 b=5.4614 c=14.8836 alpha=90.00 beta=90.00 gamma=120.00
Space group R-3 (No. 148, hexagonal axes)
One atom of each set of equivalent atoms:
Nd 0.0000 0.0000 0.1282 x6
Ga 0.0000 0.0000 0.3462 x6
O 0.0158 0.6153 0.9233 x18

Results
Spin magnetization   0.0 μB/f.u.
Total energy   -210.049 eV per cell

The following is a DFT calculation (GGA-PBE) of crystalline Nd2Ga2O5 at its relaxed geometry.

Unit cell a=3.935 b=3.935 c=7.026 alpha=90.00 beta=90.00 gamma=90.00
Space group P4/mmm (No. 123)
One atom of each set of equivalent atoms:
Nd 0.000 0.000 0.000 x1
Nd 0.000 0.000 0.500 x1
Ga 0.500 0.500 0.214 x2
O 0.000 0.500 0.239 x4
O 0.500 0.500 0.500 x1

Results
Spin magnetization   0.0 μB/f.u.
Total energy   -61.082 eV per cell

The following is a DFT calculation (GGA-PBE) of crystalline Nd3Ga2Sb3O12 at its relaxed geometry.

Unit cell a=13.155 b=13.155 c=13.155 alpha=90.00 beta=90.00 gamma=90.00
Space group Ia-3d (No. 230)
One atom of each set of equivalent atoms:
Nd 0.000 0.250 0.125 x24
Ga 0.000 0.000 0.000 x16
Sb 0.000 0.250 0.375 x24
O 0.020 0.058 0.643 x96

Results
Spin magnetization   0.0 μB/f.u.
Total energy   -1055.158 eV per cell

The following is a DFT calculation (GGA-PBE) of crystalline NdPaGa at its relaxed geometry.

Unit cell a=6.965 b=6.965 c=6.965 alpha=90.00 beta=90.00 gamma=90.00
Space group F-43m (No. 216)
One atom of each set of equivalent atoms:
Nd 0.000 0.000 0.000 x4
Pa 0.000 0.000 0.500 x4
Ga 0.250 0.250 0.250 x4

Results
Spin magnetization   0.0 μB/f.u.
Total energy   -66.961 eV per cell

The following is a DFT calculation (GGA-PBE) of crystalline Nd2GaPb at its relaxed geometry.

Unit cell a=4.330 b=4.627 c=11.684 alpha=90.00 beta=90.00 gamma=90.00
Space group Amm2 (No. 38)
One atom of each set of equivalent atoms:
Nd 0.000 0.000 0.000 x2
Nd 0.500 0.000 0.280 x2
Ga 0.000 0.000 0.731 x2
Pb 0.500 0.000 0.565 x2

Results
Spin magnetization   0.2 μB/f.u.
Total energy   -37.160 eV per cell

The following is a DFT calculation (GGA-PBE) of crystalline NdGaPbS3 at its relaxed geometry.

Unit cell a=4.222 b=14.021 c=10.065 alpha=90.00 beta=90.00 gamma=90.00
Space group Cmcm (No. 63)
One atom of each set of equivalent atoms:
Nd 0.000 0.000 0.000 x4
Ga 0.000 0.452 0.250 x4
Pb 0.000 0.268 0.750 x4
S 0.000 0.099 0.250 x4
S 0.000 0.360 0.042 x8

Results
Spin magnetization   0.0 μB/f.u.
Total energy   -116.295 eV per cell

The following is a DFT calculation (GGA-PBE) of crystalline NdGaPbSe3 at its relaxed geometry.

Unit cell a=4.419 b=14.156 c=10.634 alpha=90.00 beta=90.00 gamma=90.00
Space group Cmcm (No. 63)
One atom of each set of equivalent atoms:
Nd 0.000 0.000 0.000 x4
Ga 0.000 0.464 0.250 x4
Pb 0.000 0.260 0.750 x4
Se 0.000 0.098 0.250 x4
Se 0.000 0.357 0.044 x8

Results
Spin magnetization   0.0 μB/f.u.
Total energy   -107.995 eV per cell

The following is a DFT calculation (GGA-PBE) of crystalline NdGaPd at its relaxed geometry.

Unit cell a=4.5448 b=4.5448 c=7.3061 alpha=90.00 beta=90.00 gamma=120.00
Space group P6_3mc (No. 186)
One atom of each set of equivalent atoms:
Nd 0.0000 0.0000 0.0000 x2
Ga 0.3333 0.6667 0.2487 x2
Pd 0.3333 0.6667 0.7529 x2

Results
Spin magnetization   0.0 μB/f.u.
Total energy   -30.788 eV per cell

The following is a DFT calculation (GGA-PBE) of crystalline NdGaPd2 at its relaxed geometry.

Unit cell a=4.4527 b=4.4527 c=9.3845 alpha=90.00 beta=90.00 gamma=120.00
Space group P-6m2 (No. 187)
One atom of each set of equivalent atoms:
Nd 0.0000 0.0000 0.0000 x1
Nd 0.3333 0.6667 0.5000 x1
Ga 0.6667 0.3333 0.2540 x2
Pd 0.0000 0.0000 0.3255 x2
Pd 0.3333 0.6667 0.1781 x2

Results
Spin magnetization   0.0 μB/f.u.
Total energy   -42.993 eV per cell